Compound: NaTeMoAuSe2
Source: OQMD via LeMat-Bulk
Functional: PBE-GGA
Structure: relaxed

Cell and atoms, written as CIF:
```
data_NaTeMoAuSe2
_chemical_formula_sum 'Na2 Te2 Mo2 Au2 Se4'
_cell_length_a 7.4365
_cell_length_b 7.4365
_cell_length_c 10.5270
_cell_angle_alpha 90.00
_cell_angle_beta 90.00
_cell_angle_gamma 150.11
_space_group_name_H-M_alt 'P 1'
_space_group_IT_number 1
_space_group_name_Hall 'P 1'
loop_
_atom_site_label
_atom_site_type_symbol
_atom_site_fract_x
_atom_site_fract_y
_atom_site_fract_z
_atom_site_occupancy
Na1 Na 0.2280 0.7720 0.7500 1
Na2 Na 0.7720 0.2280 0.2500 1
Te1 Te 0.0867 0.9133 0.2500 1
Te2 Te 0.9133 0.0867 0.7500 1
Mo1 Mo 0.0000 0.0000 0.0000 1
Mo2 Mo 0.0000 0.0000 0.5000 1
Au1 Au 0.4369 0.5631 0.2500 1
Au2 Au 0.5631 0.4369 0.7500 1
Se1 Se 0.3749 0.6251 0.0272 1
Se2 Se 0.3749 0.6251 0.4728 1
Se3 Se 0.6251 0.3749 0.5272 1
Se4 Se 0.6251 0.3749 0.9728 1
```

Calculated values
Electronic total energy in eV/atom: -4.530
V in A^3/atom: 24.18